This record from Alexandria via LeMat-Bulk describes a relaxed KBaPt crystal. The functional is PBE.

abc: 9.3486 5.2459 13.1686
angles: 90.00 90.18 90.00
Closest atoms and distances in Å follow each position.
Space group Cm (No. 8)
Unique sites:
K 0.0000 0.0000 0.0000 x2  1 Pt 3.23
K 0.1732 0.5000 0.2548 x2  1 Pt 3.23
Ba 0.1719 0.5000 0.7415 x2  4 Pt 3.08-3.18
Ba 0.4994 0.5000 0.5132 x2  4 Pt 3.08-3.18
Pt 0.0012 0.0000 0.7545 x2  4 Ba 3.08-3.18, 1 K 3.23
Pt 0.1701 0.5000 0.5003 x2  4 Ba 3.08-3.18, 1 K 3.23

Calculated values
As for the formation energy: -0.84 eV/f.u.

This record from Alexandria via LeMat-Bulk describes a relaxed Na3Pm2HfO6 crystal. The functional is PBE.

abc: 5.9334 10.3302 5.9914
angles: 90.00 108.82 90.00
Closest atoms and distances in Å follow each position.
Space group C2/m (No. 12)
Unique sites:
Na 0.0000 0.0000 0.0000 x2  6 O 2.50-2.71
Na 0.0000 0.3449 0.0000 x4  4 O 2.44-2.47
Pm 0.0000 0.1675 0.5000 x4  6 O 2.41-2.42
Hf 0.0000 0.5000 0.5000 x2  6 O 2.14-2.15
O 0.2189 0.3513 0.7133 x8  1 Hf 2.15
O 0.2321 0.5000 0.2901 x4  1 Hf 2.14

Calculated values
The calculation puts the formation energy without anion corrections at -249.2 kJ per mole of atoms.

This record from Alexandria via LeMat-Bulk describes a relaxed CaMg2InIr crystal. The functional is PBE.

abc: 5.0289 5.0289 5.1640
angles: 90.00 90.00 90.00
Closest atoms and distances in Å follow each position.
Space group P4/mmm (No. 123)
Unique sites:
Ca 0.0000 0.0000 0.0000 x1  4 In 3.56, 8 Mg 3.60
Mg 0.0000 0.5000 0.5000 x2  2 Ir 2.51
In 0.5000 0.5000 0.0000 x1  2 Ir 2.58
Ir 0.5000 0.5000 0.5000 x1  4 Mg 2.51, 2 In 2.58

Calculated values
As for the formation energy: -1.06 eV/f.u.

Going through the records in order, we get spin magnetization values of 0.0, 0.0, 0.0 μB per formula unit.
Going through the records in order, we get VASP energy values of -39.61, -168.31, -17.85 eV/cell.